(1)
Computed, not measured: SmGeHIr after structural relaxation at the PBE-GGA level of DFT.

Lattice parameters (Å, degrees): 4.1368 4.1368 7.4588 90.00 90.00 90.00
Space group P4/nmm (No. 129, origin choice 2)
One atom of each set of equivalent atoms:
Sm  0.2500  0.2500  0.1612
Ge  0.2500  0.2500  0.6883
H  0.2500  0.7500  0.0000
Ir  0.2500  0.7500  0.5000

VASP energy = -49.291 eV/cell
Total magnetization = 0.000 μB per formula unit

(2)
Computed, not measured: TbGeHIr after structural relaxation at the PBE-GGA level of DFT.

Lattice parameters (Å, degrees): 4.1085 4.1085 7.2715 90.00 90.00 90.00
Space group P4/nmm (No. 129, origin choice 2)
One atom of each set of equivalent atoms:
Tb  0.2500  0.2500  0.1592
Ge  0.2500  0.2500  0.6952
H  0.2500  0.7500  0.0000
Ir  0.2500  0.7500  0.5000

VASP energy = -49.149 eV/cell
Total magnetization = 0.000 μB per formula unit

(3)
Computed, not measured: TbGeHIr2 after structural relaxation at the PBE-GGA level of DFT.

Lattice parameters (Å, degrees): 3.9149 10.7291 7.2686 90.00 90.00 90.00
Space group Cmcm (No. 63)
One atom of each set of equivalent atoms:
Tb  0.0000  0.0560  0.2500
Ge  0.0000  0.2257  0.7500
H  0.0000  0.5000  0.0000
Ir  0.0000  0.3427  0.0538

VASP energy = -132.682 eV/cell
Total magnetization = 0.000 μB per formula unit

(4)
Computed, not measured: Ti2GeHIr after structural relaxation at the PBE-GGA level of DFT.

Lattice parameters (Å, degrees): 4.0346 4.0346 3.8828 90.00 90.00 90.00
Space group P4/mmm (No. 123)
One atom of each set of equivalent atoms:
Ti  0.0000  0.5000  0.0000
Ge  0.0000  0.0000  0.5000
H  0.5000  0.5000  0.0000
Ir  0.5000  0.5000  0.5000

VASP energy = -35.287 eV/cell
Total magnetization = 0.000 μB per formula unit

The lowest VASP energy belongs to which entry?
TbGeHIr2

Copy entry 3 word for word.
Computed, not measured: TbGeHIr2 after structural relaxation at the PBE-GGA level of DFT.

Lattice parameters (Å, degrees): 3.9149 10.7291 7.2686 90.00 90.00 90.00
Space group Cmcm (No. 63)
One atom of each set of equivalent atoms:
Tb  0.0000  0.0560  0.2500
Ge  0.0000  0.2257  0.7500
H  0.0000  0.5000  0.0000
Ir  0.0000  0.3427  0.0538

VASP energy = -132.682 eV/cell
Total magnetization = 0.000 μB per formula unit